(1)
{"formula": "CdSe2Cl", "functional": "GGA-PBE", "state": "optimized geometry", "formation_energy_uncorrected_ev_per_fu": 0.2, "spacegroup": "No. 166", "vol_a3_per_cell": 97, "e_tot_ev_per_cell": -9.5, "lattice_angstrom": [[2.048, 1.183, 6.644], [-2.048, 1.183, 6.644], [0.000, -2.365, 6.644]], "species": ["Cd", "Se", "Se", "Cl"], "fractional_positions": [[0.000, 0.000, 0.000], [0.263, 0.263, 0.263], [0.737, 0.737, 0.737], [0.500, 0.500, 0.500]]}



(2)
{"formula": "Cd3SeCl", "functional": "GGA-PBE", "state": "optimized geometry", "formation_energy_uncorrected_ev_per_fu": -0.3, "spacegroup": "No. 221", "vol_a3_per_cell": 170, "e_tot_ev_per_cell": -8.4, "lattice_angstrom": [[5.538, 0.000, 0.000], [0.000, 5.538, 0.000], [0.000, 0.000, 5.538]], "species": ["Cd", "Cd", "Cd", "Se", "Cl"], "fractional_positions": [[0.000, 0.000, 0.500], [0.000, 0.500, 0.000], [0.500, 0.000, 0.000], [0.000, 0.000, 0.000], [0.500, 0.500, 0.500]]}



(3)
{"formula": "CdSe2Cl", "functional": "GGA-PBE", "state": "optimized geometry", "formation_energy_uncorrected_ev_per_fu": 1.2, "spacegroup": "No. 123", "vol_a3_per_cell": 87, "e_tot_ev_per_cell": -8.5, "lattice_angstrom": [[5.347, 0.000, 0.000], [0.000, 5.347, 0.000], [0.000, 0.000, 3.051]], "species": ["Cd", "Se", "Se", "Cl"], "fractional_positions": [[0.000, 0.000, 0.000], [0.000, 0.500, 0.500], [0.500, 0.000, 0.500], [0.500, 0.500, 0.000]]}



(4)
{"formula": "CdSe2Cl", "functional": "GGA-PBE", "state": "optimized geometry", "formation_energy_uncorrected_ev_per_fu": 0.2, "spacegroup": "No. 65", "vol_a3_per_cell": 107, "e_tot_ev_per_cell": -9.5, "lattice_angstrom": [[2.506, -6.805, 0.000], [2.506, 6.805, 0.000], [0.000, 0.000, 3.139]], "species": ["Cd", "Se", "Se", "Cl"], "fractional_positions": [[0.000, 0.000, 0.000], [0.000, 0.500, 0.500], [0.500, 0.000, 0.500], [0.500, 0.500, 0.000]]}



(5)
{"formula": "CdSeCl4", "functional": "GGA-PBE", "state": "optimized geometry", "formation_energy_uncorrected_ev_per_fu": 3.7, "spacegroup": "No. 216", "vol_a3_per_cell": 148, "e_tot_ev_per_cell": -8.1, "lattice_angstrom": [[0.000, 4.199, 4.199], [4.199, 0.000, 4.199], [4.199, 4.199, 0.000]], "species": ["Cd", "Se", "Cl", "Cl", "Cl", "Cl"], "fractional_positions": [[0.000, 0.000, 0.000], [0.250, 0.250, 0.250], [0.122, 0.626, 0.626], [0.626, 0.122, 0.626], [0.626, 0.626, 0.122], [0.626, 0.626, 0.626]]}



(6)
{"formula": "CdSe2Cl", "functional": "GGA-PBE", "state": "optimized geometry", "formation_energy_uncorrected_ev_per_fu": -0.5, "spacegroup": "No. 35", "vol_a3_per_cell": 116, "e_tot_ev_per_cell": -10.2, "lattice_angstrom": [[1.782, -3.639, 0.000], [1.782, 3.639, 0.000], [0.000, 0.000, 8.970]], "species": ["Cd", "Se", "Se", "Cl"], "fractional_positions": [[0.000, 0.000, 0.000], [0.000, 0.000, 0.562], [0.500, 0.500, 0.761], [0.500, 0.500, 0.201]]}



(7)
{"formula": "Cd2Se2Cl", "functional": "GGA-PBE", "state": "optimized geometry", "formation_energy_uncorrected_ev_per_fu": -2.6, "spacegroup": "No. 2", "vol_a3_per_cell": 263, "e_tot_ev_per_cell": -26.4, "lattice_angstrom": [[6.452, 0.000, 0.000], [-2.876, 5.893, 0.000], [-2.213, -1.645, 6.930]], "species": ["Cd", "Cd", "Cd", "Cd", "Se", "Se", "Se", "Se", "Cl", "Cl"], "fractional_positions": [[0.106, 0.336, 0.443], [0.320, 0.850, 0.159], [0.680, 0.150, 0.841], [0.894, 0.664, 0.557], [0.112, 0.424, 0.804], [0.222, 0.036, 0.840], [0.778, 0.964, 0.160], [0.888, 0.576, 0.196], [0.460, 0.234, 0.435], [0.540, 0.766, 0.565]]}



(8)
{"formula": "CdSe2Cl", "functional": "GGA-PBE", "state": "optimized geometry", "formation_energy_uncorrected_ev_per_fu": -1.2, "spacegroup": "No. 99", "vol_a3_per_cell": 117, "e_tot_ev_per_cell": -10.9, "lattice_angstrom": [[3.823, 0.000, 0.000], [0.000, 3.823, 0.000], [0.000, 0.000, 7.997]], "species": ["Cd", "Se", "Se", "Cl"], "fractional_positions": [[0.000, 0.000, 0.000], [0.000, 0.000, 0.669], [0.500, 0.500, 0.641], [0.500, 0.500, 0.112]]}



(9)
{"formula": "CdSe2Cl", "functional": "GGA-PBE", "state": "optimized geometry", "formation_energy_uncorrected_ev_per_fu": -1.6, "spacegroup": "No. 10", "vol_a3_per_cell": 108, "e_tot_ev_per_cell": -11.3, "lattice_angstrom": [[5.178, 0.000, 0.000], [0.000, 4.063, 0.000], [-1.358, 0.000, 5.124]], "species": ["Cd", "Se", "Se", "Cl"], "fractional_positions": [[0.000, 0.000, 0.000], [0.385, 0.500, 0.159], [0.615, 0.500, 0.841], [0.000, 0.000, 0.500]]}



(10)
{"formula": "CdSe2Cl", "functional": "GGA-PBE", "state": "optimized geometry", "formation_energy_uncorrected_ev_per_fu": -1.1, "spacegroup": "No. 6", "vol_a3_per_cell": 138, "e_tot_ev_per_cell": -10.9, "lattice_angstrom": [[4.325, 0.000, 0.000], [0.000, 4.309, 0.000], [-0.758, 0.000, 7.390]], "species": ["Cd", "Se", "Se", "Cl"], "fractional_positions": [[0.000, 0.000, 0.000], [0.400, 0.500, 0.264], [0.678, 0.000, 0.288], [0.963, 0.500, 0.805]]}



(11)
{"formula": "CdSe2Cl", "functional": "GGA-PBE", "state": "optimized geometry", "formation_energy_uncorrected_ev_per_fu": 0.7, "spacegroup": "No. 122", "vol_a3_per_cell": 239, "e_tot_ev_per_cell": -18.1, "lattice_angstrom": [[-2.831, 2.831, 7.444], [2.831, -2.831, 7.444], [2.831, 2.831, -7.444]], "species": ["Cd", "Cd", "Se", "Se", "Se", "Se", "Cl", "Cl"], "fractional_positions": [[0.000, 0.000, 0.000], [0.750, 0.250, 0.500], [0.127, 0.625, 0.002], [0.375, 0.377, 0.502], [0.623, 0.125, 0.998], [0.875, 0.873, 0.498], [0.250, 0.750, 0.500], [0.500, 0.500, 0.000]]}



(12)
{"formula": "CdSe2Cl", "functional": "GGA-PBE", "state": "optimized geometry", "formation_energy_uncorrected_ev_per_fu": 1.1, "spacegroup": "No. 225", "vol_a3_per_cell": 86, "e_tot_ev_per_cell": -8.6, "lattice_angstrom": [[0.000, 3.498, 3.498], [3.498, 0.000, 3.498], [3.498, 3.498, 0.000]], "species": ["Cd", "Se", "Se", "Cl"], "fractional_positions": [[0.000, 0.000, 0.000], [0.250, 0.250, 0.250], [0.750, 0.750, 0.750], [0.500, 0.500, 0.500]]}



(13)
{"formula": "CdSe2Cl", "functional": "GGA-PBE", "state": "optimized geometry", "formation_energy_uncorrected_ev_per_fu": 0.1, "spacegroup": "No. 123", "vol_a3_per_cell": 96, "e_tot_ev_per_cell": -9.6, "lattice_angstrom": [[3.870, 0.000, 0.000], [0.000, 3.870, 0.000], [0.000, 0.000, 6.435]], "species": ["Cd", "Se", "Se", "Cl"], "fractional_positions": [[0.000, 0.000, 0.000], [0.500, 0.500, 0.190], [0.500, 0.500, 0.810], [0.000, 0.000, 0.500]]}



(14)
{"formula": "CdSn2SeCl", "functional": "GGA-PBE", "state": "optimized geometry", "formation_energy_uncorrected_ev_per_fu": 1.2, "spacegroup": "No. 123", "vol_a3_per_cell": 164, "e_tot_ev_per_cell": -13.1, "lattice_angstrom": [[5.670, 0.000, 0.000], [0.000, 5.670, 0.000], [0.000, 0.000, 5.102]], "species": ["Cd", "Sn", "Sn", "Se", "Cl"], "fractional_positions": [[0.000, 0.000, 0.000], [0.000, 0.500, 0.000], [0.500, 0.000, 0.000], [0.000, 0.000, 0.500], [0.500, 0.500, 0.500]]}



(15)
{"formula": "SrCdSe2Cl", "functional": "GGA-PBE", "state": "optimized geometry", "formation_energy_uncorrected_ev_per_fu": 0.3, "spacegroup": "No. 123", "vol_a3_per_cell": 242, "e_tot_ev_per_cell": -11.1, "lattice_angstrom": [[5.913, 0.000, 0.000], [0.000, 5.913, 0.000], [0.000, 0.000, 6.930]], "species": ["Sr", "Cd", "Se", "Se", "Cl"], "fractional_positions": [[0.000, 0.000, 0.000], [0.000, 0.000, 0.500], [0.000, 0.500, 0.000], [0.500, 0.000, 0.000], [0.500, 0.500, 0.500]]}



(16)
{"formula": "CdTeSe2Cl", "functional": "GGA-PBE", "state": "optimized geometry", "formation_energy_uncorrected_ev_per_fu": 3.5, "spacegroup": "No. 123", "vol_a3_per_cell": 140, "e_tot_ev_per_cell": -9.4, "lattice_angstrom": [[5.186, 0.000, 0.000], [0.000, 5.186, 0.000], [0.000, 0.000, 5.193]], "species": ["Cd", "Te", "Se", "Se", "Cl"], "fractional_positions": [[0.000, 0.000, 0.000], [0.500, 0.500, 0.000], [0.000, 0.500, 0.500], [0.500, 0.000, 0.500], [0.500, 0.500, 0.500]]}



(17)
{"formula": "TlCdSeCl", "functional": "GGA-PBE", "state": "optimized geometry", "formation_energy_uncorrected_ev_per_fu": -3.1, "spacegroup": "No. 156", "vol_a3_per_cell": 128, "e_tot_ev_per_cell": -11.7, "lattice_angstrom": [[4.383, 0.000, 0.000], [-2.192, 3.796, 0.000], [0.000, 0.000, 7.680]], "species": ["Tl", "Cd", "Se", "Cl"], "fractional_positions": [[0.000, 0.000, 0.000], [0.333, 0.667, 0.428], [0.667, 0.333, 0.308], [0.333, 0.667, 0.764]]}



(18)
{"formula": "ZnCdSe2Cl", "functional": "GGA-PBE", "state": "optimized geometry", "formation_energy_uncorrected_ev_per_fu": -0.2, "spacegroup": "No. 123", "vol_a3_per_cell": 120, "e_tot_ev_per_cell": -11.2, "lattice_angstrom": [[5.028, 0.000, 0.000], [0.000, 5.028, 0.000], [0.000, 0.000, 4.746]], "species": ["Zn", "Cd", "Se", "Se", "Cl"], "fractional_positions": [[0.000, 0.000, 0.000], [0.500, 0.500, 0.500], [0.000, 0.500, 0.000], [0.500, 0.000, 0.000], [0.000, 0.000, 0.500]]}



(19)
{"formula": "CdSi2Cl", "functional": "GGA-PBE", "state": "optimized geometry", "formation_energy_uncorrected_ev_per_fu": 0.2, "spacegroup": "No. 99", "vol_a3_per_cell": 87, "e_tot_ev_per_cell": -13.4, "lattice_angstrom": [[3.548, 0.000, 0.000], [0.000, 3.548, 0.000], [0.000, 0.000, 6.874]], "species": ["Cd", "Si", "Si", "Cl"], "fractional_positions": [[0.000, 0.000, 0.000], [0.000, 0.000, 0.625], [0.500, 0.500, 0.597], [0.500, 0.500, 0.237]]}



(20)
{"formula": "CdSiCl2", "functional": "GGA-PBE", "state": "optimized geometry", "formation_energy_uncorrected_ev_per_fu": 0.8, "spacegroup": "No. 216", "vol_a3_per_cell": 87, "e_tot_ev_per_cell": -9.2, "lattice_angstrom": [[0.000, 3.519, 3.519], [3.519, 0.000, 3.519], [3.519, 3.519, 0.000]], "species": ["Cd", "Si", "Cl", "Cl"], "fractional_positions": [[0.000, 0.000, 0.000], [0.750, 0.750, 0.750], [0.250, 0.250, 0.250], [0.500, 0.500, 0.500]]}